(1)
# AsPb

A relaxed AsPb crystal (PBE, the Alexandria database).

Values from the calculation:
Symmetry   R-3m (166)
Total energy   -4.118 eV per atom

a b c (Å): 9.2270 9.2270 9.2270
angles (deg): 23.41 23.41 23.41
Element x y z (fractional)
Pb 0.5074 0.5074 0.5074
Pb 0.7426 0.7426 0.7426
As 0.9842 0.9842 0.9842
As 0.2658 0.2658 0.2658

---

(2)
# As3Pb

A relaxed As3Pb crystal (PBE, the Alexandria database).

Values from the calculation:
Symmetry   Pnma (62)
Offset from the most stable computed form   13.5 kJ/mol of atoms

a b c (Å): 8.2610 6.6220 7.2952
angles (deg): 90.00 90.00 90.00
Element x y z (fractional)
Pb 0.6092 0.9332 0.7500
Pb 0.1092 0.5668 0.2500
Pb 0.8908 0.4332 0.7500
Pb 0.3908 0.0668 0.2500
As 0.1278 0.9010 0.7500
As 0.6278 0.5990 0.2500
As 0.3722 0.4010 0.7500
As 0.8722 0.0990 0.2500
As 0.6634 0.2727 0.0329
As 0.1634 0.2273 0.9671
As 0.8366 0.7727 0.4671
As 0.3366 0.7273 0.5329
As 0.3366 0.7273 0.9671
As 0.8366 0.7727 0.0329
As 0.1634 0.2273 0.5329
As 0.6634 0.2727 0.4671

---

We obtain DOS(E_F) values of 0.88; 1.73 states/eV/f.u. for the records listed above, in that order.
We obtain theoretical density values of 8.60; 7.19 g/cm3 for the records listed above, in that order.